# 1
Entry from Alexandria: a geometry-optimized BaSi2 structure (PBE).

POSCAR file:
```
BaSi2
1.0
3.698 0.000 0.000
0.000 3.698 0.000
0.000 0.000 5.683
Ba Si
1 2
Cartesian
0.000 0.000 0.000
0.000 1.849 2.842
1.849 0.000 2.842
```

- Uncorrected energy: -4.176 eV/atom


# 2
Entry from Alexandria: a geometry-optimized BaSi6 structure (PBE).

POSCAR file:
```
BaSi6
1.0
-3.386 3.386 3.386
3.386 -3.386 3.386
3.386 3.386 -3.386
Ba Si
1 6
Cartesian
0.000 0.000 0.000
3.386 1.693 0.000
3.386 0.000 1.693
1.693 3.386 0.000
1.693 0.000 3.386
0.000 3.386 1.693
0.000 1.693 3.386
```

- Relative energy among the computed polymorphs: 0 meV per atom
- Uncorrected energy: -5.029 eV/atom


# 3
Entry from Alexandria: a geometry-optimized Ba3Si structure (PBE).

POSCAR file:
```
Ba3Si
1.0
4.628 0.000 0.000
0.000 8.095 0.000
0.000 0.000 10.949
Ba Si
6 2
Cartesian
1.157 0.153 1.938
1.157 2.024 5.697
1.157 3.895 1.938
3.471 4.201 9.011
3.471 6.072 5.252
3.471 7.942 9.011
1.157 6.072 7.572
3.471 2.024 3.377
```

- Relative energy among the computed polymorphs: 50 meV per atom
- Uncorrected energy: -2.925 eV/atom


# 4
Entry from Alexandria: a geometry-optimized BaSi2 structure (PBE).

POSCAR file:
```
BaSi2
1.0
-1.763 1.763 5.826
1.763 -1.763 5.826
1.763 1.763 -5.826
Ba Si
1 2
Cartesian
0.000 0.000 0.000
0.000 0.000 3.344
0.000 0.000 8.308
```

- Uncorrected energy: -4.320 eV/atom


Which formula does entry 3 have?
Ba3Si